Entry 1:
Crystalline NpH2 at its relaxed geometry, computed with PBE.

a = 4.169 Å, b = 4.169 Å, c = 4.169 Å
α = 60.00°, β = 60.00°, γ = 60.00°
Sites, in units of the cell vectors:
Np 0.125 0.125 0.125
Np 0.875 0.875 0.875
H 0.000 0.500 0.500
H 0.500 0.000 0.500
H 0.500 0.500 0.000
H 0.500 0.500 0.500

Computed properties:
The crystal system is cubic.

Entry 2:
Crystalline Np2H5 at its relaxed geometry, computed with PBE.

a = 6.566 Å, b = 6.566 Å, c = 6.566 Å
α = 129.56°, β = 66.43°, γ = 139.73°
Sites, in units of the cell vectors:
Np 0.122 0.239 0.361
Np 0.378 0.739 0.117
Np 0.622 0.261 0.883
Np 0.878 0.761 0.639
H 0.006 0.750 0.256
H 0.082 0.838 0.921
H 0.250 0.750 0.500
H 0.418 0.338 0.756
H 0.494 0.750 0.744
H 0.506 0.250 0.256
H 0.582 0.662 0.244
H 0.750 0.250 0.500
H 0.918 0.162 0.079
H 0.994 0.250 0.744

Computed properties:
The crystal system is orthorhombic.

Entry 3:
Crystalline NpH3 at its relaxed geometry, computed with PBE.

a = 3.267 Å, b = 3.267 Å, c = 3.267 Å
α = 90.00°, β = 90.00°, γ = 90.00°
Sites, in units of the cell vectors:
Np 0.000 0.000 0.000
H 0.000 0.500 0.500
H 0.500 0.000 0.500
H 0.500 0.500 0.000

Computed properties:
The crystal system is cubic.

Entry 4:
Crystalline NpH at its relaxed geometry, computed with PBE.

a = 5.034 Å, b = 5.034 Å, c = 3.410 Å
α = 90.00°, β = 90.00°, γ = 148.03°
Sites, in units of the cell vectors:
Np 0.087 0.913 0.750
Np 0.913 0.087 0.250
H 0.316 0.684 0.750
H 0.684 0.316 0.250

Computed properties:
The crystal system is orthorhombic.

Entry 5:
Crystalline Np4H at its relaxed geometry, computed with PBE.

a = 4.503 Å, b = 4.503 Å, c = 4.503 Å
α = 90.00°, β = 90.00°, γ = 90.00°
Sites, in units of the cell vectors:
Np 0.000 0.000 0.000
Np 0.000 0.500 0.500
Np 0.500 0.000 0.500
Np 0.500 0.500 0.000
H 0.500 0.500 0.500

Computed properties:
The crystal system is cubic.

Entry 6:
Crystalline NpH5 at its relaxed geometry, computed with PBE.

a = 3.952 Å, b = 3.952 Å, c = 3.439 Å
α = 90.00°, β = 90.00°, γ = 129.87°
Sites, in units of the cell vectors:
Np 0.000 0.000 0.000
H 0.153 0.847 0.500
H 0.308 0.692 0.000
H 0.500 0.500 0.500
H 0.692 0.308 0.000
H 0.847 0.153 0.500

Computed properties:
The crystal system is orthorhombic.

Entry 7:
Crystalline NpH2 at its relaxed geometry, computed with PBE.

a = 3.673 Å, b = 3.673 Å, c = 3.673 Å
α = 60.00°, β = 60.00°, γ = 60.00°
Sites, in units of the cell vectors:
Np 0.000 0.000 0.000
H 0.250 0.250 0.250
H 0.750 0.750 0.750

Computed properties:
The crystal system is cubic.

Entry 8:
Crystalline NpH at its relaxed geometry, computed with PBE.

a = 3.384 Å, b = 3.384 Å, c = 3.384 Å
α = 60.00°, β = 60.00°, γ = 60.00°
Sites, in units of the cell vectors:
Np 0.000 0.000 0.000
H 0.500 0.500 0.500

Computed properties:
The crystal system is cubic.

Entry 9:
Crystalline NpH at its relaxed geometry, computed with PBE.

a = 3.504 Å, b = 10.006 Å, c = 5.044 Å
α = 90.00°, β = 90.00°, γ = 90.00°
Sites, in units of the cell vectors:
Np 0.091 0.115 0.080
Np 0.091 0.385 0.580
Np 0.409 0.615 0.080
Np 0.409 0.885 0.580
Np 0.591 0.115 0.420
Np 0.591 0.385 0.920
Np 0.909 0.615 0.420
Np 0.909 0.885 0.920
H 0.094 0.168 0.651
H 0.094 0.332 0.151
H 0.406 0.668 0.651
H 0.406 0.832 0.151
H 0.594 0.168 0.849
H 0.594 0.332 0.349
H 0.906 0.668 0.849
H 0.906 0.832 0.349

Computed properties:
The crystal system is orthorhombic.

Entry 10:
Crystalline NpH3 at its relaxed geometry, computed with PBE.

a = 6.116 Å, b = 6.116 Å, c = 6.404 Å
α = 90.00°, β = 90.00°, γ = 120.00°
Sites, in units of the cell vectors:
Np 0.000 0.351 0.250
Np 0.000 0.649 0.750
Np 0.351 0.000 0.250
Np 0.351 0.351 0.750
Np 0.649 0.000 0.750
Np 0.649 0.649 0.250
H 0.000 0.000 0.250
H 0.000 0.000 0.750
H 0.000 0.306 0.595
H 0.000 0.306 0.905
H 0.000 0.694 0.095
H 0.000 0.694 0.405
H 0.306 0.000 0.595
H 0.306 0.000 0.905
H 0.306 0.306 0.095
H 0.306 0.306 0.405
H 0.333 0.667 0.001
H 0.333 0.667 0.501
H 0.667 0.333 0.499
H 0.667 0.333 0.999
H 0.694 0.000 0.095
H 0.694 0.000 0.405
H 0.694 0.694 0.595
H 0.694 0.694 0.905

Computed properties:
The crystal system is trigonal.

Entry 11:
Crystalline NpH3 at its relaxed geometry, computed with PBE.

a = 3.679 Å, b = 3.679 Å, c = 6.544 Å
α = 90.00°, β = 90.00°, γ = 120.00°
Sites, in units of the cell vectors:
Np 0.333 0.667 0.250
Np 0.667 0.333 0.750
H 0.000 0.000 0.250
H 0.000 0.000 0.750
H 0.333 0.667 0.595
H 0.333 0.667 0.905
H 0.667 0.333 0.095
H 0.667 0.333 0.405

Computed properties:
The crystal system is hexagonal.

Entry 12:
Crystalline NpH3 at its relaxed geometry, computed with PBE.

a = 3.998 Å, b = 3.998 Å, c = 3.998 Å
α = 144.44°, β = 68.67°, γ = 123.38°
Sites, in units of the cell vectors:
Np 0.000 0.000 0.000
H 0.094 0.352 0.742
H 0.507 0.007 0.500
H 0.611 0.352 0.258

Computed properties:
The crystal system is orthorhombic.

E (eV/atom)
-6.171, -6.294, -5.888, -8.146, -10.523, -4.841, -6.687, -8.041, -8.299, -5.968, -5.965, -5.627
Calculated volume (Å³/atom)
8.5, 9.9, 8.7, 11.4, 18.3, 6.9, 11.7, 13.7, 11.1, 8.6, 9.6, 7.6
Total magnetic moment (μB per formula unit)
0.00, 8.53, 4.00, 0.00, 12.83, 2.15, 3.89, 4.01, 0.00, 4.00, 3.84, 0.00